Entry from Alexandria via LeMat-Bulk: a relaxed Th7Ir3 crystal (PBE).

Lattice parameters (Å, degrees): 10.0833 10.0833 6.3168 90.00 90.00 120.00
Closest atoms and distances in Å follow each position.
Atoms (fractional coordinates):
Th 0.4580 0.5420 0.2935  2 Ir 2.90
Th 0.8718 0.7436 0.4991  3 Ir 2.92-3.00
Th 0.5420 0.0840 0.7935  2 Ir 2.90
Th 0.1282 0.2564 0.9991  3 Ir 2.92-3.00
Th 0.1282 0.8718 0.9991  3 Ir 2.92-3.00
Th 0.0840 0.5420 0.2935  2 Ir 2.90
Th 0.2564 0.1282 0.4991  3 Ir 2.92-3.00
Th 0.4580 0.9160 0.2935  2 Ir 2.90
Th 0.8718 0.1282 0.4991  3 Ir 2.92-3.00
Th 0.3333 0.6667 0.8045  3 Ir 3.00
Th 0.5420 0.4580 0.7935  2 Ir 2.90
Th 0.6667 0.3333 0.3045  3 Ir 3.00
Th 0.7436 0.8718 0.9991  3 Ir 2.92-3.00
Th 0.9160 0.4580 0.7935  2 Ir 2.90
Ir 0.8127 0.1873 0.0533  6 Th 2.90-3.00
Ir 0.8127 0.6255 0.0533  6 Th 2.90-3.00
Ir 0.1873 0.3745 0.5533  6 Th 2.90-3.00
Ir 0.1873 0.8127 0.5533  6 Th 2.90-3.00
Ir 0.3745 0.1873 0.0533  6 Th 2.90-3.00
Ir 0.6255 0.8127 0.5533  6 Th 2.90-3.00

## Properties
Energy relative to the elements ... -651 meV/atom
Density of states at the Fermi level ... 22.3 states/eV/cell